1.
The following is a DFT calculation (PBE) of crystalline Pr3Ho4Mg at its relaxed geometry.

Computed properties:
ΔE to the lowest computed polymorph = 0.12 eV per formula unit
final energy = -4.262 eV/atom
space-group type = No. 71
total magnetization = 0.000 Bohr magnetons per cell

Cell lengths 10.8252, 10.8252, 10.8252 Å; angles 153.53, 153.03, 38.15 degrees
With the nearest neighbours (Å) after each atom.
Fractional positions:
Pr 0.0000 0.0000 0.0000  4 Mg 3.54, 4 Ho 3.59, 4 Pr 3.60
Pr 0.3749 0.8749 0.5000  8 Ho 3.54-3.59, 2 Mg 3.56, 2 Pr 3.60
Pr 0.6251 0.1251 0.5000  8 Ho 3.54-3.59, 2 Mg 3.56, 2 Pr 3.60
Ho 0.1269 0.6269 0.5000  4 Ho 3.51-3.59, 6 Pr 3.54-3.59, 2 Mg 3.62
Ho 0.2482 0.2482 0.0000  8 Ho 3.51-3.59, 4 Pr 3.57-3.59
Ho 0.7518 0.7518 0.0000  8 Ho 3.51-3.59, 4 Pr 3.57-3.59
Ho 0.8731 0.3731 0.5000  4 Ho 3.51-3.59, 6 Pr 3.54-3.59, 2 Mg 3.62
Mg 0.5000 0.5000 0.0000  8 Pr 3.54-3.56, 4 Ho 3.62



2.
The following is a DFT calculation (PBE) of crystalline Cr2SiAu at its relaxed geometry.

Computed properties:
final energy = -6.703 eV/atom
space-group type = No. 166
total magnetization = 0.225 Bohr magnetons per cell
uncorrected formation energy = 1.14 eV per formula unit

Cell lengths 8.7458, 8.7458, 8.7458 Å; angles 17.78, 17.78, 17.78 degrees
With the nearest neighbours (Å) after each atom.
Fractional positions:
Cr 0.2436 0.2436 0.2436  3 Si 2.53, 6 Cr 2.70, 3 Au 2.79
Cr 0.7564 0.7564 0.7564  3 Si 2.53, 6 Cr 2.70, 3 Au 2.79
Si 0.5000 0.5000 0.5000  6 Cr 2.53, 6 Si 2.70
Au 0.0000 0.0000 0.0000  6 Au 2.70, 6 Cr 2.79



3.
The following is a DFT calculation (PBE) of crystalline NdInPdRh at its relaxed geometry.

Computed properties:
final energy = -5.649 eV/atom
space-group type = No. 216
total magnetization = 0.000 Bohr magnetons per cell

Cell lengths 4.8519, 4.8519, 4.8519 Å; angles 60.00, 60.00, 60.00 degrees
With the nearest neighbours (Å) after each atom.
Fractional positions:
Nd 0.0000 0.0000 0.0000  4 Rh 2.97, 4 Pd 2.97
In 0.5000 0.5000 0.5000  4 Rh 2.97, 4 Pd 2.97
Pd 0.7500 0.7500 0.7500  4 In 2.97, 4 Nd 2.97
Rh 0.2500 0.2500 0.2500  4 In 2.97, 4 Nd 2.97



4.
The following is a DFT calculation (PBE) of crystalline AcTb2F11 at its relaxed geometry.

Computed properties:
final energy = -5.891 eV/atom
space-group type = No. 72
total magnetization = 4.254 Bohr magnetons per cell
uncorrected formation energy = -48.51 eV per formula unit

Cell lengths 9.0867, 9.0867, 9.0867 Å; angles 123.97, 109.77, 95.91 degrees
With the nearest neighbours (Å) after each atom.
Fractional positions:
Ac 0.2500 0.2500 0.0000  8 F 2.50-2.52
Ac 0.7500 0.7500 0.0000  8 F 2.50-2.52
Tb 0.1879 0.6544 0.8423  7 F 2.20-2.37
Tb 0.3121 0.1544 0.4666  7 F 2.20-2.37
Tb 0.6879 0.8456 0.5334  7 F 2.20-2.37
Tb 0.8121 0.3456 0.1577  7 F 2.20-2.37
F 0.0000 0.5000 0.5000  2 F 2.28, 2 Tb 2.37
F 0.0419 0.9742 0.2880  1 Tb 2.20
F 0.0469 0.3415 0.1365  1 Tb 2.21
F 0.1862 0.4742 0.9323  1 Tb 2.20
F 0.1984 0.3897 0.5880  2 Tb 2.26-2.33, 1 F 2.28
F 0.2049 0.9103 0.8635  1 Tb 2.21
F 0.2951 0.1585 0.7054  1 Tb 2.21
F 0.3016 0.8897 0.1913  2 Tb 2.26-2.33, 1 F 2.28
F 0.3138 0.2461 0.2880  1 Tb 2.20
F 0.4531 0.5897 0.2946  1 Tb 2.21
F 0.4581 0.7461 0.9323  1 Tb 2.20
F 0.5000 0.0000 0.5000  2 F 2.28, 2 Tb 2.37
F 0.5419 0.2539 0.0677  1 Tb 2.20
F 0.5469 0.4103 0.7054  1 Tb 2.21
F 0.6862 0.7539 0.7120  1 Tb 2.20
F 0.6984 0.1103 0.8087  2 Tb 2.26-2.33, 1 F 2.28
F 0.7049 0.8415 0.2946  1 Tb 2.21
F 0.7951 0.0897 0.1365  1 Tb 2.21
F 0.8016 0.6103 0.4120  2 Tb 2.26-2.33, 1 F 2.28
F 0.8138 0.5258 0.0677  1 Tb 2.20
F 0.9531 0.6585 0.8635  1 Tb 2.21
F 0.9581 0.0258 0.7120  1 Tb 2.20



5.
The following is a DFT calculation (PBE) of crystalline ZrCd2F11 at its relaxed geometry.

Computed properties:
final energy = -4.390 eV/atom
space-group type = No. 72
total magnetization = 2.230 Bohr magnetons per cell
uncorrected formation energy = -30.50 eV per formula unit

Cell lengths 8.4737, 8.4737, 8.4737 Å; angles 120.75, 106.42, 101.88 degrees
With the nearest neighbours (Å) after each atom.
Fractional positions:
Zr 0.2500 0.2500 0.0000  8 F 2.11-2.15
Zr 0.7500 0.7500 0.0000  8 F 2.11-2.15
Cd 0.2156 0.7099 0.9255  6 F 2.23-2.35
Cd 0.2844 0.2099 0.4943  6 F 2.23-2.35
Cd 0.7156 0.7901 0.5057  6 F 2.23-2.35
Cd 0.7844 0.2901 0.0745  6 F 2.23-2.35
F 0.0000 0.5000 0.5000  2 F 1.72
F 0.0129 0.9447 0.2675  1 Zr 2.15, 1 Cd 2.23
F 0.0640 0.3141 0.1178  1 Zr 2.11, 1 Cd 2.24
F 0.1611 0.4378 0.5989  1 F 1.72
F 0.1772 0.4447 0.9317  1 Zr 2.15, 1 Cd 2.23
F 0.1963 0.9462 0.8822  1 Zr 2.11, 1 Cd 2.24
F 0.3037 0.1859 0.7499  1 Zr 2.11, 1 Cd 2.24
F 0.3228 0.2545 0.2675  1 Zr 2.15, 1 Cd 2.23
F 0.3389 0.9378 0.2767  1 F 1.72
F 0.4360 0.5538 0.2501  1 Zr 2.11, 1 Cd 2.24
F 0.4871 0.7545 0.9317  1 Zr 2.15, 1 Cd 2.23
F 0.5000 0.0000 0.5000  2 F 1.72
F 0.5129 0.2455 0.0683  1 Zr 2.15, 1 Cd 2.23
F 0.5640 0.4462 0.7499  1 Zr 2.11, 1 Cd 2.24
F 0.6611 0.0622 0.7233  1 F 1.72
F 0.6772 0.7455 0.7325  1 Zr 2.15, 1 Cd 2.23
F 0.6963 0.8141 0.2501  1 Zr 2.11, 1 Cd 2.24
F 0.8037 0.0538 0.1178  1 Zr 2.11, 1 Cd 2.24
F 0.8228 0.5553 0.0683  1 Zr 2.15, 1 Cd 2.23
F 0.8389 0.5622 0.4011  1 F 1.72
F 0.9360 0.6859 0.8822  1 Zr 2.11, 1 Cd 2.24
F 0.9871 0.0553 0.7325  1 Zr 2.15, 1 Cd 2.23



6.
The following is a DFT calculation (PBE) of crystalline LaTi3As at its relaxed geometry.

Computed properties:
ΔE to the lowest computed polymorph = 0.00 eV per formula unit
final energy = -6.623 eV/atom
space-group type = No. 221
total magnetization = 0.000 Bohr magnetons per cell

Cell lengths 4.8634, 4.8634, 4.8634 Å; angles 90.00, 90.00, 90.00 degrees
With the nearest neighbours (Å) after each atom.
Fractional positions:
La 0.0000 0.0000 0.0000  12 Ti 3.44
Ti 0.0000 0.5000 0.5000  2 As 2.43
Ti 0.5000 0.0000 0.5000  2 As 2.43
Ti 0.5000 0.5000 0.0000  2 As 2.43
As 0.5000 0.5000 0.5000  6 Ti 2.43



7.
The following is a DFT calculation (PBE) of crystalline CeEuCuIr at its relaxed geometry.

Computed properties:
final energy = -7.609 eV/atom
space-group type = No. 216
total magnetization = 7.565 Bohr magnetons per cell

Cell lengths 4.9802, 4.9802, 4.9802 Å; angles 60.00, 60.00, 60.00 degrees
With the nearest neighbours (Å) after each atom.
Fractional positions:
Ce 0.0000 0.0000 0.0000  4 Ir 3.05, 4 Cu 3.05
Eu 0.5000 0.5000 0.5000  4 Cu 3.05, 4 Ir 3.05
Cu 0.7500 0.7500 0.7500  4 Ce 3.05, 4 Eu 3.05
Ir 0.2500 0.2500 0.2500  4 Ce 3.05, 4 Eu 3.05



8.
The following is a DFT calculation (PBE) of crystalline InGeBr5 at its relaxed geometry.

Computed properties:
final energy = -2.889 eV/atom
space-group type = No. 15
total magnetization = 0.000 Bohr magnetons per cell
uncorrected formation energy = -4.50 eV per formula unit

Cell lengths 7.6603, 7.6603, 10.5159 Å; angles 110.00, 110.00, 89.08 degrees
With the nearest neighbours (Å) after each atom.
Fractional positions:
In 0.1161 0.8839 0.7500  4 Br 2.56-2.57
In 0.8839 0.1161 0.2500  4 Br 2.56-2.57
Ge 0.5000 0.5000 0.0000  6 Br 2.73-2.88
Ge 0.5000 0.5000 0.5000  6 Br 2.73-2.88
Br 0.1626 0.2433 0.8440  1 In 2.57, 1 Ge 2.88
Br 0.2163 0.7459 0.5309  1 In 2.56
Br 0.2433 0.1626 0.3440  1 In 2.57, 1 Ge 2.88
Br 0.2541 0.7837 0.9691  1 In 2.56
Br 0.4321 0.5679 0.2500  2 Ge 2.73
Br 0.5679 0.4321 0.7500  2 Ge 2.73
Br 0.7459 0.2163 0.0309  1 In 2.56
Br 0.7567 0.8374 0.6560  1 In 2.57, 1 Ge 2.88
Br 0.7837 0.2541 0.4691  1 In 2.56
Br 0.8374 0.7567 0.1560  1 In 2.57, 1 Ge 2.88



9.
The following is a DFT calculation (PBE) of crystalline CsTlSbI2 at its relaxed geometry.

Computed properties:
ΔE to the lowest computed polymorph = 0.00 eV per formula unit
final energy = -2.499 eV/atom
space-group type = No. 123
total magnetization = 1.981 Bohr magnetons per cell
uncorrected formation energy = -2.05 eV per formula unit

Cell lengths 6.6333, 6.6333, 5.8694 Å; angles 90.00, 90.00, 90.00 degrees
With the nearest neighbours (Å) after each atom.
Fractional positions:
Cs 0.0000 0.0000 0.0000  8 I 4.43, 4 Sb 4.69
Tl 0.5000 0.5000 0.5000  2 Sb 2.93
Sb 0.5000 0.5000 0.0000  2 Tl 2.93
I 0.0000 0.5000 0.5000  2 Tl 3.32
I 0.5000 0.0000 0.5000  2 Tl 3.32



10.
The following is a DFT calculation (PBE) of crystalline MgIn2Ni at its relaxed geometry.

Computed properties:
final energy = -3.141 eV/atom
space-group type = No. 65
total magnetization = 0.000 Bohr magnetons per cell

Cell lengths 4.9472, 4.9472, 3.2678 Å; angles 90.00, 90.00, 106.28 degrees
With the nearest neighbours (Å) after each atom.
Fractional positions:
Mg 0.0000 0.0000 0.0000  8 In 2.96, 2 Ni 2.97, 2 Mg 3.27
In 0.0000 0.5000 0.5000  4 Mg 2.96, 4 Ni 2.96, 4 In 2.97-3.27
In 0.5000 0.0000 0.5000  4 Mg 2.96, 4 Ni 2.96, 4 In 2.97-3.27
Ni 0.5000 0.5000 0.0000  8 In 2.96, 2 Mg 2.97, 2 Ni 3.27



11.
The following is a DFT calculation (PBE) of crystalline Nd2ErOs at its relaxed geometry.

Computed properties:
ΔE to the lowest computed polymorph = 2.22 eV per formula unit
final energy = -5.927 eV/atom
space-group type = No. 166
total magnetization = 0.000 Bohr magnetons per cell

Cell lengths 11.0906, 11.0906, 11.0906 Å; angles 18.52, 18.52, 18.52 degrees
With the nearest neighbours (Å) after each atom.
Fractional positions:
Nd 0.1053 0.1053 0.1053  3 Os 2.88
Nd 0.8947 0.8947 0.8947  3 Os 2.88
Er 0.0000 0.0000 0.0000  2 Nd 3.44, 6 Er 3.57
Os 0.5000 0.5000 0.5000  6 Nd 2.88



12.
The following is a DFT calculation (PBE) of crystalline Ce3PmSi3 at its relaxed geometry.

Computed properties:
final energy = -5.947 eV/atom
space-group type = No. 148
total magnetization = 4.818 Bohr magnetons per cell
uncorrected formation energy = -2.81 eV per formula unit

Cell lengths 7.7266, 7.7266, 7.7266 Å; angles 69.55, 69.55, 69.55 degrees
With the nearest neighbours (Å) after each atom.
Fractional positions:
Ce 0.1016 0.8215 0.3605  5 Si 2.95-3.15
Ce 0.1785 0.6395 0.8984  5 Si 2.95-3.15
Ce 0.3605 0.1016 0.8215  5 Si 2.95-3.15
Ce 0.6395 0.8984 0.1785  5 Si 2.95-3.15
Ce 0.8215 0.3605 0.1016  5 Si 2.95-3.15
Ce 0.8984 0.1785 0.6395  5 Si 2.95-3.15
Pm 0.3333 0.3333 0.3333  6 Si 3.02-3.05
Pm 0.6667 0.6667 0.6667  6 Si 3.02-3.05
Si 0.0684 0.4489 0.6965  5 Ce 2.95-3.15, 2 Pm 3.02-3.05
Si 0.3035 0.9316 0.5511  5 Ce 2.95-3.15, 2 Pm 3.02-3.05
Si 0.4489 0.6965 0.0684  5 Ce 2.95-3.15, 2 Pm 3.02-3.05
Si 0.5511 0.3035 0.9316  5 Ce 2.95-3.15, 2 Pm 3.02-3.05
Si 0.6965 0.0684 0.4489  5 Ce 2.95-3.15, 2 Pm 3.02-3.05
Si 0.9316 0.5511 0.3035  5 Ce 2.95-3.15, 2 Pm 3.02-3.05



Please write out number 9 again, unchanged.
The following is a DFT calculation (PBE) of crystalline CsTlSbI2 at its relaxed geometry.

Computed properties:
ΔE to the lowest computed polymorph = 0.00 eV per formula unit
final energy = -2.499 eV/atom
space-group type = No. 123
total magnetization = 1.981 Bohr magnetons per cell
uncorrected formation energy = -2.05 eV per formula unit

Cell lengths 6.6333, 6.6333, 5.8694 Å; angles 90.00, 90.00, 90.00 degrees
With the nearest neighbours (Å) after each atom.
Fractional positions:
Cs 0.0000 0.0000 0.0000  8 I 4.43, 4 Sb 4.69
Tl 0.5000 0.5000 0.5000  2 Sb 2.93
Sb 0.5000 0.5000 0.0000  2 Tl 2.93
I 0.0000 0.5000 0.5000  2 Tl 3.32
I 0.5000 0.0000 0.5000  2 Tl 3.32